# PBE+U CrFeF5, optimized geometry
# Space-group type = C2/c
# Fermi-level density of states = 0.00 states/eV per cell
# Polymorph energy (0 for the lowest one) = 170 meV per atom
data_CrFeF5
_cell_length_a 5.681
_cell_length_b 5.681
_cell_length_c 7.504
_cell_angle_alpha 100.21
_cell_angle_beta 100.21
_cell_angle_gamma 56.53
_symmetry_space_group_name_H-M 'P 1'
_symmetry_Int_Tables_number 1
loop_
_symmetry_equiv_pos_as_xyz
'x,y,z'
loop_
_atom_site_label
_atom_site_fract_x
_atom_site_fract_y
_atom_site_fract_z
Cr1 0.000 0.000 0.000
Cr2 0.000 0.000 0.500
Fe1 0.457 0.543 0.750
Fe2 0.543 0.457 0.250
F1 0.086 0.646 0.867
F2 0.157 0.843 0.250
F3 0.181 0.598 0.515
F4 0.354 0.914 0.633
F5 0.402 0.819 0.985
F6 0.598 0.181 0.015
F7 0.646 0.086 0.367
F8 0.819 0.402 0.485
F9 0.843 0.157 0.750
F10 0.914 0.354 0.133


# PBE+U CrFeF4, optimized geometry
# Space-group type = I-4m2
# Fermi-level density of states = 0.00 states/eV per cell
# E = -35.11 eV/cell
data_CrFeF4
_cell_length_a 6.392
_cell_length_b 6.392
_cell_length_c 6.392
_cell_angle_alpha 143.74
_cell_angle_beta 143.74
_cell_angle_gamma 52.21
_symmetry_space_group_name_H-M 'P 1'
_symmetry_Int_Tables_number 1
loop_
_symmetry_equiv_pos_as_xyz
'x,y,z'
loop_
_atom_site_label
_atom_site_fract_x
_atom_site_fract_y
_atom_site_fract_z
Cr1 0.000 0.000 0.000
Fe1 0.250 0.750 0.500
F1 0.028 0.528 0.500
F2 0.214 0.214 0.000
F3 0.472 0.972 0.500
F4 0.786 0.786 0.000


# PBE+U CrFeF5, optimized geometry
# Space-group type = C2/c
# Fermi-level density of states = 0.00 states/eV per cell
# Polymorph energy (0 for the lowest one) = 0 meV per atom
data_CrFeF5
_cell_length_a 5.434
_cell_length_b 5.434
_cell_length_c 7.484
_cell_angle_alpha 111.82
_cell_angle_beta 111.82
_cell_angle_gamma 72.74
_symmetry_space_group_name_H-M 'P 1'
_symmetry_Int_Tables_number 1
loop_
_symmetry_equiv_pos_as_xyz
'x,y,z'
loop_
_atom_site_label
_atom_site_fract_x
_atom_site_fract_y
_atom_site_fract_z
Cr1 0.000 0.000 0.000
Cr2 0.000 0.000 0.500
Fe1 0.491 0.509 0.750
Fe2 0.509 0.491 0.250
F1 0.071 0.929 0.750
F2 0.223 0.273 0.632
F3 0.273 0.223 0.132
F4 0.286 0.687 0.025
F5 0.313 0.714 0.475
F6 0.687 0.286 0.525
F7 0.714 0.313 0.975
F8 0.727 0.777 0.868
F9 0.777 0.727 0.368
F10 0.929 0.071 0.250


# PBE+U CrFe2F, optimized geometry
# Space-group type = Fm-3m
# Fermi-level density of states = 1.63 states/eV per cell
# Polymorph energy (0 for the lowest one) = 458 meV per atom
data_CrFe2F
_cell_length_a 4.442
_cell_length_b 4.442
_cell_length_c 4.442
_cell_angle_alpha 60.00
_cell_angle_beta 60.00
_cell_angle_gamma 60.00
_symmetry_space_group_name_H-M 'P 1'
_symmetry_Int_Tables_number 1
loop_
_symmetry_equiv_pos_as_xyz
'x,y,z'
loop_
_atom_site_label
_atom_site_fract_x
_atom_site_fract_y
_atom_site_fract_z
Cr1 0.000 0.000 0.000
Fe1 0.250 0.250 0.250
Fe2 0.750 0.750 0.750
F1 0.500 0.500 0.500


# PBE+U CrFe4F12, optimized geometry
# Space-group type = Immm
# Fermi-level density of states = 5.31 states/eV per cell
# E = -93.51 eV/cell
data_CrFe4F12
_cell_length_a 6.768
_cell_length_b 6.768
_cell_length_c 6.768
_cell_angle_alpha 110.98
_cell_angle_beta 110.13
_cell_angle_gamma 107.33
_symmetry_space_group_name_H-M 'P 1'
_symmetry_Int_Tables_number 1
loop_
_symmetry_equiv_pos_as_xyz
'x,y,z'
loop_
_atom_site_label
_atom_site_fract_x
_atom_site_fract_y
_atom_site_fract_z
Cr1 0.000 0.000 0.000
Fe1 0.000 0.000 0.500
Fe2 0.000 0.500 0.000
Fe3 0.500 0.000 0.000
Fe4 0.500 0.500 0.500
F1 0.006 0.712 0.294
F2 0.192 0.184 0.376
F3 0.192 0.816 0.008
F4 0.286 0.082 0.796
F5 0.286 0.490 0.204
F6 0.417 0.712 0.706
F7 0.583 0.288 0.294
F8 0.714 0.510 0.796
F9 0.714 0.918 0.204
F10 0.808 0.184 0.992
F11 0.808 0.816 0.624
F12 0.994 0.288 0.706


# PBE+U CrFe2F8, optimized geometry
# Space-group type = C2/m
# E = -59.65 eV/cell
data_CrFe2F8
_cell_length_a 6.649
_cell_length_b 6.649
_cell_length_c 4.952
_cell_angle_alpha 110.57
_cell_angle_beta 110.57
_cell_angle_gamma 46.87
_symmetry_space_group_name_H-M 'P 1'
_symmetry_Int_Tables_number 1
loop_
_symmetry_equiv_pos_as_xyz
'x,y,z'
loop_
_atom_site_label
_atom_site_fract_x
_atom_site_fract_y
_atom_site_fract_z
Cr1 0.000 0.000 0.000
Fe1 0.238 0.238 0.690
Fe2 0.762 0.762 0.310
F1 0.091 0.091 0.746
F2 0.093 0.615 0.664
F3 0.315 0.315 0.092
F4 0.385 0.907 0.336
F5 0.615 0.093 0.664
F6 0.685 0.685 0.908
F7 0.907 0.385 0.336
F8 0.909 0.909 0.254


# PBE+U Cr2FeF6, optimized geometry
# Space-group type = P-31m
# Fermi-level density of states = 15.06 states/eV per cell
# E = -51.73 eV/cell
data_Cr2FeF6
_cell_length_a 5.490
_cell_length_b 5.490
_cell_length_c 4.465
_cell_angle_alpha 90.00
_cell_angle_beta 90.00
_cell_angle_gamma 120.00
_symmetry_space_group_name_H-M 'P 1'
_symmetry_Int_Tables_number 1
loop_
_symmetry_equiv_pos_as_xyz
'x,y,z'
loop_
_atom_site_label
_atom_site_fract_x
_atom_site_fract_y
_atom_site_fract_z
Cr1 0.333 0.667 0.000
Cr2 0.667 0.333 0.000
Fe1 0.000 0.000 0.500
F1 0.000 0.340 0.237
F2 0.000 0.660 0.763
F3 0.340 0.000 0.237
F4 0.340 0.340 0.763
F5 0.660 0.000 0.763
F6 0.660 0.660 0.237


# PBE+U Cr4FeF12, optimized geometry
# Space-group type = Immm
# Fermi-level density of states = 2.68 states/eV per cell
# E = -101.81 eV/cell
data_Cr4FeF12
_cell_length_a 6.746
_cell_length_b 6.746
_cell_length_c 6.746
_cell_angle_alpha 112.43
_cell_angle_beta 109.36
_cell_angle_gamma 106.68
_symmetry_space_group_name_H-M 'P 1'
_symmetry_Int_Tables_number 1
loop_
_symmetry_equiv_pos_as_xyz
'x,y,z'
loop_
_atom_site_label
_atom_site_fract_x
_atom_site_fract_y
_atom_site_fract_z
Cr1 0.000 0.000 0.500
Cr2 0.000 0.500 0.000
Cr3 0.500 0.000 0.000
Cr4 0.500 0.500 0.500
Fe1 0.000 0.000 0.000
F1 0.013 0.704 0.309
F2 0.214 0.183 0.397
F3 0.214 0.817 0.031
F4 0.251 0.071 0.821
F5 0.251 0.430 0.179
F6 0.395 0.704 0.691
F7 0.605 0.296 0.309
F8 0.749 0.570 0.821
F9 0.749 0.929 0.179
F10 0.786 0.183 0.969
F11 0.786 0.817 0.603
F12 0.987 0.296 0.691


# PBE+U CrFeF3, optimized geometry
# Space-group type = Pm-3m
# Fermi-level density of states = 4.39 states/eV per cell
# Polymorph energy (0 for the lowest one) = 0 meV per atom
data_CrFeF3
_cell_length_a 4.095
_cell_length_b 4.095
_cell_length_c 4.095
_cell_angle_alpha 90.00
_cell_angle_beta 90.00
_cell_angle_gamma 90.00
_symmetry_space_group_name_H-M 'P 1'
_symmetry_Int_Tables_number 1
loop_
_symmetry_equiv_pos_as_xyz
'x,y,z'
loop_
_atom_site_label
_atom_site_fract_x
_atom_site_fract_y
_atom_site_fract_z
Cr1 0.000 0.000 0.000
Fe1 0.500 0.500 0.500
F1 0.000 0.500 0.500
F2 0.500 0.000 0.500
F3 0.500 0.500 0.000


# PBE+U CrFeF2, optimized geometry
# Space-group type = Fm-3m
# Fermi-level density of states = 5.38 states/eV per cell
# E = -16.62 eV/cell
data_CrFeF2
_cell_length_a 4.081
_cell_length_b 4.081
_cell_length_c 4.081
_cell_angle_alpha 60.00
_cell_angle_beta 60.00
_cell_angle_gamma 60.00
_symmetry_space_group_name_H-M 'P 1'
_symmetry_Int_Tables_number 1
loop_
_symmetry_equiv_pos_as_xyz
'x,y,z'
loop_
_atom_site_label
_atom_site_fract_x
_atom_site_fract_y
_atom_site_fract_z
Cr1 0.000 0.000 0.000
Fe1 0.500 0.500 0.500
F1 0.250 0.250 0.250
F2 0.750 0.750 0.750


# PBE+U CrFeF3, optimized geometry
# Space-group type = Pm-3m
# Fermi-level density of states = 17.86 states/eV per cell
# Polymorph energy (0 for the lowest one) = 593 meV per atom
data_CrFeF3
_cell_length_a 4.100
_cell_length_b 4.100
_cell_length_c 4.100
_cell_angle_alpha 90.00
_cell_angle_beta 90.00
_cell_angle_gamma 90.00
_symmetry_space_group_name_H-M 'P 1'
_symmetry_Int_Tables_number 1
loop_
_symmetry_equiv_pos_as_xyz
'x,y,z'
loop_
_atom_site_label
_atom_site_fract_x
_atom_site_fract_y
_atom_site_fract_z
Cr1 0.000 0.000 0.000
Fe1 0.500 0.500 0.500
F1 0.000 0.000 0.500
F2 0.000 0.500 0.000
F3 0.500 0.000 0.000


# PBE+U HfCrFe2F, optimized geometry
# Space-group type = P4/mmm
# Fermi-level density of states = 3.29 states/eV per cell
# E = -29.70 eV/cell
data_HfCrFe2F
_cell_length_a 4.415
_cell_length_b 4.415
_cell_length_c 4.325
_cell_angle_alpha 90.00
_cell_angle_beta 90.00
_cell_angle_gamma 90.00
_symmetry_space_group_name_H-M 'P 1'
_symmetry_Int_Tables_number 1
loop_
_symmetry_equiv_pos_as_xyz
'x,y,z'
loop_
_atom_site_label
_atom_site_fract_x
_atom_site_fract_y
_atom_site_fract_z
Hf1 0.000 0.000 0.000
Cr1 0.500 0.500 0.000
Fe1 0.000 0.500 0.500
Fe2 0.500 0.000 0.500
F1 0.000 0.000 0.500


# PBE+U CrFeHgF6, optimized geometry
# Space-group type = P-31c
# Fermi-level density of states = 1.67 states/eV per cell
# E = -88.78 eV/cell
data_CrFeHgF6
_cell_length_a 5.369
_cell_length_b 5.369
_cell_length_c 12.927
_cell_angle_alpha 90.00
_cell_angle_beta 90.00
_cell_angle_gamma 120.00
_symmetry_space_group_name_H-M 'P 1'
_symmetry_Int_Tables_number 1
loop_
_symmetry_equiv_pos_as_xyz
'x,y,z'
loop_
_atom_site_label
_atom_site_fract_x
_atom_site_fract_y
_atom_site_fract_z
Cr1 0.333 0.667 0.250
Cr2 0.667 0.333 0.750
Fe1 0.333 0.667 0.750
Fe2 0.667 0.333 0.250
Hg1 0.000 0.000 0.000
Hg2 0.000 0.000 0.500
F1 0.002 0.381 0.169
F2 0.002 0.621 0.331
F3 0.379 0.381 0.331
F4 0.379 0.998 0.169
F5 0.381 0.002 0.669
F6 0.381 0.379 0.831
F7 0.619 0.621 0.169
F8 0.619 0.998 0.331
F9 0.621 0.002 0.831
F10 0.621 0.619 0.669
F11 0.998 0.379 0.669
F12 0.998 0.619 0.831


# PBE+U K2CrFe3F12, optimized geometry
# Space-group type = R-3m
# Fermi-level density of states = 10.97 states/eV per cell
# E = -96.09 eV/cell
data_K2CrFe3F12
_cell_length_a 7.459
_cell_length_b 7.459
_cell_length_c 7.459
_cell_angle_alpha 59.03
_cell_angle_beta 59.03
_cell_angle_gamma 59.03
_symmetry_space_group_name_H-M 'P 1'
_symmetry_Int_Tables_number 1
loop_
_symmetry_equiv_pos_as_xyz
'x,y,z'
loop_
_atom_site_label
_atom_site_fract_x
_atom_site_fract_y
_atom_site_fract_z
K1 0.113 0.113 0.113
K2 0.887 0.887 0.887
Cr1 0.500 0.500 0.500
Fe1 0.000 0.500 0.500
Fe2 0.500 0.000 0.500
Fe3 0.500 0.500 0.000
F1 0.169 0.169 0.577
F2 0.169 0.577 0.169
F3 0.187 0.569 0.569
F4 0.423 0.831 0.831
F5 0.431 0.431 0.813
F6 0.431 0.813 0.431
F7 0.569 0.187 0.569
F8 0.569 0.569 0.187
F9 0.577 0.169 0.169
F10 0.813 0.431 0.431
F11 0.831 0.423 0.831
F12 0.831 0.831 0.423


# PBE+U KCrFeF6, optimized geometry
# Space-group type = P-31c
# Fermi-level density of states = 0.00 states/eV per cell
# E = -99.88 eV/cell
data_KCrFeF6
_cell_length_a 5.473
_cell_length_b 5.473
_cell_length_c 11.255
_cell_angle_alpha 90.00
_cell_angle_beta 90.00
_cell_angle_gamma 120.00
_symmetry_space_group_name_H-M 'P 1'
_symmetry_Int_Tables_number 1
loop_
_symmetry_equiv_pos_as_xyz
'x,y,z'
loop_
_atom_site_label
_atom_site_fract_x
_atom_site_fract_y
_atom_site_fract_z
K1 0.000 0.000 0.000
K2 0.000 0.000 0.500
Cr1 0.333 0.667 0.250
Cr2 0.667 0.333 0.750
Fe1 0.333 0.667 0.750
Fe2 0.667 0.333 0.250
F1 0.021 0.383 0.155
F2 0.021 0.638 0.345
F3 0.362 0.383 0.345
F4 0.362 0.979 0.155
F5 0.383 0.021 0.655
F6 0.383 0.362 0.845
F7 0.617 0.638 0.155
F8 0.617 0.979 0.345
F9 0.638 0.021 0.845
F10 0.638 0.617 0.655
F11 0.979 0.362 0.655
F12 0.979 0.617 0.845


# PBE+U K2CrFeF6, optimized geometry
# Space-group type = R-3m
# Fermi-level density of states = 10.55 states/eV per cell
# E = -51.52 eV/cell
data_K2CrFeF6
_cell_length_a 5.943
_cell_length_b 5.943
_cell_length_c 5.943
_cell_angle_alpha 59.84
_cell_angle_beta 59.84
_cell_angle_gamma 59.84
_symmetry_space_group_name_H-M 'P 1'
_symmetry_Int_Tables_number 1
loop_
_symmetry_equiv_pos_as_xyz
'x,y,z'
loop_
_atom_site_label
_atom_site_fract_x
_atom_site_fract_y
_atom_site_fract_z
K1 0.249 0.249 0.249
K2 0.751 0.751 0.751
Cr1 0.000 0.000 0.000
Fe1 0.500 0.500 0.500
F1 0.247 0.247 0.753
F2 0.247 0.753 0.247
F3 0.247 0.753 0.753
F4 0.753 0.247 0.247
F5 0.753 0.247 0.753
F6 0.753 0.753 0.247


# PBE+U Mg2CrFeF, optimized geometry
# Space-group type = P4/mmm
# Fermi-level density of states = 2.12 states/eV per cell
# E = -17.87 eV/cell
data_Mg2CrFeF
_cell_length_a 5.578
_cell_length_b 5.578
_cell_length_c 3.818
_cell_angle_alpha 90.00
_cell_angle_beta 90.00
_cell_angle_gamma 90.00
_symmetry_space_group_name_H-M 'P 1'
_symmetry_Int_Tables_number 1
loop_
_symmetry_equiv_pos_as_xyz
'x,y,z'
loop_
_atom_site_label
_atom_site_fract_x
_atom_site_fract_y
_atom_site_fract_z
Mg1 0.000 0.500 0.000
Mg2 0.500 0.000 0.000
Cr1 0.000 0.000 0.000
Fe1 0.500 0.500 0.500
F1 0.000 0.000 0.500


# PBE+U CrFeMoF6, optimized geometry
# Space-group type = P-31c
# Fermi-level density of states = 9.94 states/eV per cell
# E = -97.82 eV/cell
data_CrFeMoF6
_cell_length_a 5.426
_cell_length_b 5.426
_cell_length_c 9.251
_cell_angle_alpha 90.00
_cell_angle_beta 90.00
_cell_angle_gamma 120.00
_symmetry_space_group_name_H-M 'P 1'
_symmetry_Int_Tables_number 1
loop_
_symmetry_equiv_pos_as_xyz
'x,y,z'
loop_
_atom_site_label
_atom_site_fract_x
_atom_site_fract_y
_atom_site_fract_z
Cr1 0.000 0.000 0.000
Cr2 0.000 0.000 0.500
Fe1 0.333 0.667 0.250
Fe2 0.667 0.333 0.750
Mo1 0.333 0.667 0.750
Mo2 0.667 0.333 0.250
F1 0.007 0.328 0.126
F2 0.007 0.679 0.374
F3 0.321 0.328 0.374
F4 0.321 0.993 0.126
F5 0.328 0.007 0.626
F6 0.328 0.321 0.874
F7 0.672 0.679 0.126
F8 0.672 0.993 0.374
F9 0.679 0.007 0.874
F10 0.679 0.672 0.626
F11 0.993 0.321 0.626
F12 0.993 0.672 0.874


# PBE+U CrFeNF2, optimized geometry
# Space-group type = P4/mmm
# Fermi-level density of states = 0.41 states/eV per cell
# Polymorph energy (0 for the lowest one) = 0 meV per atom
data_CrFeNF2
_cell_length_a 3.906
_cell_length_b 3.906
_cell_length_c 4.068
_cell_angle_alpha 90.00
_cell_angle_beta 90.00
_cell_angle_gamma 90.00
_symmetry_space_group_name_H-M 'P 1'
_symmetry_Int_Tables_number 1
loop_
_symmetry_equiv_pos_as_xyz
'x,y,z'
loop_
_atom_site_label
_atom_site_fract_x
_atom_site_fract_y
_atom_site_fract_z
Cr1 0.000 0.000 0.000
Fe1 0.500 0.500 0.500
N1 0.500 0.500 0.000
F1 0.000 0.500 0.500
F2 0.500 0.000 0.500


# PBE+U CrFe2NF, optimized geometry
# Space-group type = P4/mmm
# Fermi-level density of states = 2.35 states/eV per cell
# E = -25.46 eV/cell
data_CrFe2NF
_cell_length_a 5.028
_cell_length_b 5.028
_cell_length_c 3.622
_cell_angle_alpha 90.00
_cell_angle_beta 90.00
_cell_angle_gamma 90.00
_symmetry_space_group_name_H-M 'P 1'
_symmetry_Int_Tables_number 1
loop_
_symmetry_equiv_pos_as_xyz
'x,y,z'
loop_
_atom_site_label
_atom_site_fract_x
_atom_site_fract_y
_atom_site_fract_z
Cr1 0.000 0.000 0.000
Fe1 0.000 0.500 0.000
Fe2 0.500 0.000 0.000
N1 0.000 0.000 0.500
F1 0.500 0.500 0.500


Number 1: mass density 3.4 g cm⁻³. Number 2: mass density 3.4 g cm⁻³. Number 3: mass density 3.6 g cm⁻³. Number 4: mass density 4.9 g cm⁻³. Number 5: mass density 3.5 g cm⁻³. Number 6: mass density 3.6 g cm⁻³. Number 7: mass density 3.9 g cm⁻³. Number 8: mass density 3.5 g cm⁻³. Number 9: mass density 4.0 g cm⁻³. Number 10: mass density 5.0 g cm⁻³. Number 11: mass density 4.0 g cm⁻³. Number 12: mass density 7.1 g cm⁻³. Number 13: mass density 4.3 g cm⁻³. Number 14: mass density 3.0 g cm⁻³. Number 15: mass density 3.0 g cm⁻³. Number 16: mass density 3.4 g cm⁻³. Number 17: mass density 2.5 g cm⁻³. Number 18: mass density 4.5 g cm⁻³. Number 19: mass density 4.3 g cm⁻³. Number 20: mass density 3.6 g cm⁻³.